No. 1
Crystalline RbSeS5 at its relaxed geometry. Source: the Alexandria database, functional PBE-GGA.

Geometry as CIF:
```
data_RbSeS5
_chemical_formula_sum 'Rb2 Se2 S10'
_symmetry_space_group_name_H-M 'I m m 2'
_symmetry_Int_Tables_number 44
_cell_length_a 5.029
_cell_length_b 7.132
_cell_length_c 12.903
_cell_angle_alpha 90.00
_cell_angle_beta 90.00
_cell_angle_gamma 90.00
loop_
_symmetry_equiv_pos_as_xyz
'x,y,z'
'-x,-y,z'
'-x,y,z'
'x,-y,z'
'x+1/2,y+1/2,z+1/2'
'-x+1/2,-y+1/2,z+1/2'
'-x+1/2,y+1/2,z+1/2'
'x+1/2,-y+1/2,z+1/2'
loop_
_atom_site_label
_atom_site_type_symbol
_atom_site_fract_x
_atom_site_fract_y
_atom_site_fract_z
Rb1 Rb 0.000 0.000 0.000
Se1 Se 0.000 0.500 0.179
S1 S 0.000 0.144 0.642
S2 S 0.000 0.500 0.341
S3 S 0.193 0.000 0.254
```

---

No. 2
Crystalline RbSe4S9 at its relaxed geometry. Source: the Alexandria database, functional PBE-GGA.

Geometry as CIF:
```
data_RbSe4S9
_chemical_formula_sum 'Rb4 Se16 S36'
_symmetry_space_group_name_H-M 'I 4/m c m'
_symmetry_Int_Tables_number 140
_symmetry_space_group_name_Hall '-I 4 2c'
_cell_length_a 8.850
_cell_length_b 8.850
_cell_length_c 19.232
_cell_angle_alpha 90.00
_cell_angle_beta 90.00
_cell_angle_gamma 90.00
loop_
_atom_site_label
_atom_site_type_symbol
_atom_site_fract_x
_atom_site_fract_y
_atom_site_fract_z
Rb1 Rb 0.000 0.000 0.250
Se1 Se 0.186 0.314 0.163
S1 S 0.000 0.500 0.000
S2 S 0.080 0.150 0.500
S3 S 0.151 0.349 0.314
```

---

No. 3
Crystalline Rb2SeS at its relaxed geometry. Source: the Alexandria database, functional PBE-GGA.

Geometry as CIF:
```
data_Rb2SeS
_chemical_formula_sum 'Rb8 Se4 S4'
_symmetry_space_group_name_H-M 'I -4 2 d'
_symmetry_Int_Tables_number 122
_symmetry_space_group_name_Hall 'I -4 2bw'
_cell_length_a 12.031
_cell_length_b 12.031
_cell_length_c 5.271
_cell_angle_alpha 90.00
_cell_angle_beta 90.00
_cell_angle_gamma 90.00
loop_
_atom_site_label
_atom_site_type_symbol
_atom_site_fract_x
_atom_site_fract_y
_atom_site_fract_z
Rb1 Rb 0.050 0.250 0.125
Se1 Se 0.000 0.000 0.500
S1 S 0.000 0.000 0.000
```

Computed properties:
Distance to the lowest polymorph of the same formula ... 242.2 meV/atom

---

No. 4
Crystalline Rb2Se3S at its relaxed geometry. Source: the Alexandria database, functional PBE-GGA.

Geometry as CIF:
```
data_Rb2Se3S
_chemical_formula_sum 'Rb8 Se12 S4'
_symmetry_space_group_name_H-M 'C 1 2/c 1'
_symmetry_Int_Tables_number 15
_cell_length_a 11.994
_cell_length_b 6.946
_cell_length_c 10.644
_cell_angle_alpha 90.00
_cell_angle_beta 116.77
_cell_angle_gamma 90.00
loop_
_symmetry_equiv_pos_as_xyz
'x,y,z'
'-x,-y,-z'
'-x,y,-z+1/2'
'x,-y,z+1/2'
'x+1/2,y+1/2,z'
'-x+1/2,-y+1/2,-z'
'-x+1/2,y+1/2,-z+1/2'
'x+1/2,-y+1/2,z+1/2'
loop_
_atom_site_label
_atom_site_type_symbol
_atom_site_fract_x
_atom_site_fract_y
_atom_site_fract_z
Rb1 Rb 0.163 0.175 0.128
Se1 Se 0.000 0.167 0.750
Se2 Se 0.152 0.332 0.469
S1 S 0.000 0.489 0.750
```

---

No. 5
Crystalline Rb6SeS2 at its relaxed geometry. Source: the Alexandria database, functional PBE-GGA.

Geometry as CIF:
```
data_Rb6SeS2
_chemical_formula_sum 'Rb12 Se2 S4'
_symmetry_space_group_name_H-M 'C 1 2/m 1'
_symmetry_Int_Tables_number 12
_cell_length_a 8.261
_cell_length_b 10.606
_cell_length_c 8.535
_cell_angle_alpha 90.00
_cell_angle_beta 97.56
_cell_angle_gamma 90.00
loop_
_symmetry_equiv_pos_as_xyz
'x,y,z'
'-x,-y,-z'
'-x,y,-z'
'x,-y,z'
'x+1/2,y+1/2,z'
'-x+1/2,-y+1/2,-z'
'-x+1/2,y+1/2,-z'
'x+1/2,-y+1/2,z'
loop_
_atom_site_label
_atom_site_type_symbol
_atom_site_fract_x
_atom_site_fract_y
_atom_site_fract_z
Rb1 Rb 0.215 0.000 0.401
Rb2 Rb 0.227 0.302 0.218
Se1 Se 0.000 0.000 0.000
S1 S 0.000 0.272 0.500
```

---

No. 6
Crystalline Rb2Sn2Se2S at its relaxed geometry. Source: the Alexandria database, functional PBE-GGA.

Geometry as CIF:
```
data_Rb2Sn2Se2S
_chemical_formula_sum 'Rb2 Sn2 Se2 S1'
_symmetry_space_group_name_H-M 'P -1'
_symmetry_Int_Tables_number 2
_cell_length_a 4.802
_cell_length_b 7.814
_cell_length_c 8.259
_cell_angle_alpha 62.15
_cell_angle_beta 89.82
_cell_angle_gamma 72.18
loop_
_symmetry_equiv_pos_as_xyz
'x,y,z'
'-x,-y,-z'
loop_
_atom_site_label
_atom_site_type_symbol
_atom_site_fract_x
_atom_site_fract_y
_atom_site_fract_z
Rb1 Rb 0.046 0.410 0.268
Sn1 Sn 0.298 0.904 0.228
Se1 Se 0.344 0.814 0.950
S1 S 0.500 0.500 0.500
```

---

No. 7
Crystalline RbSrSeS2 at its relaxed geometry. Source: the Alexandria database, functional PBE-GGA.

Geometry as CIF:
```
data_RbSrSeS2
_chemical_formula_sum 'Rb1 Sr1 Se1 S2'
_symmetry_space_group_name_H-M 'P 4/m m m'
_symmetry_Int_Tables_number 123
_symmetry_space_group_name_Hall '-P 4 2'
_cell_length_a 5.521
_cell_length_b 5.521
_cell_length_c 5.690
_cell_angle_alpha 90.00
_cell_angle_beta 90.00
_cell_angle_gamma 90.00
loop_
_atom_site_label
_atom_site_type_symbol
_atom_site_fract_x
_atom_site_fract_y
_atom_site_fract_z
Rb1 Rb 0.000 0.000 0.000
Sr1 Sr 0.500 0.500 0.500
Se1 Se 0.000 0.000 0.500
S1 S 0.000 0.500 0.000
```

---

No. 8
Crystalline RbTbSeS at its relaxed geometry. Source: the Alexandria database, functional PBE-GGA.

Geometry as CIF:
```
data_RbTbSeS
_chemical_formula_sum 'Rb3 Tb3 Se3 S3'
_symmetry_space_group_name_H-M 'R 3 m'
_symmetry_Int_Tables_number 160
_symmetry_space_group_name_Hall 'R 3 -2"'
_cell_length_a 4.1576
_cell_length_b 4.1576
_cell_length_c 23.9481
_cell_angle_alpha 90.00
_cell_angle_beta 90.00
_cell_angle_gamma 120.00
loop_
_atom_site_label
_atom_site_type_symbol
_atom_site_fract_x
_atom_site_fract_y
_atom_site_fract_z
Rb1 Rb 0.0000 0.0000 0.0000
Tb1 Tb 0.0000 0.0000 0.1643
Se1 Se 0.0000 0.0000 0.5660
S1 S 0.0000 0.0000 0.7706
```

---

No. 9
Crystalline Rb2Tl2Se2S at its relaxed geometry. Source: the Alexandria database, functional PBE-GGA.

Geometry as CIF:
```
data_Rb2Tl2Se2S
_chemical_formula_sum 'Rb4 Tl4 Se4 S2'
_symmetry_space_group_name_H-M 'C 1 2/m 1'
_symmetry_Int_Tables_number 12
_cell_length_a 15.337
_cell_length_b 4.467
_cell_length_c 8.773
_cell_angle_alpha 90.00
_cell_angle_beta 121.69
_cell_angle_gamma 90.00
loop_
_symmetry_equiv_pos_as_xyz
'x,y,z'
'-x,-y,-z'
'-x,y,-z'
'x,-y,z'
'x+1/2,y+1/2,z'
'-x+1/2,-y+1/2,-z'
'-x+1/2,y+1/2,-z'
'x+1/2,-y+1/2,z'
loop_
_atom_site_label
_atom_site_type_symbol
_atom_site_fract_x
_atom_site_fract_y
_atom_site_fract_z
Rb1 Rb 0.042 0.000 0.263
Tl1 Tl 0.193 0.500 0.785
Se1 Se 0.164 0.500 0.101
S1 S 0.000 0.500 0.500
```

---

No. 10
Crystalline RbTmSeS at its relaxed geometry. Source: the Alexandria database, functional PBE-GGA.

Geometry as CIF:
```
data_RbTmSeS
_chemical_formula_sum 'Rb3 Tm3 Se3 S3'
_symmetry_space_group_name_H-M 'R 3 m'
_symmetry_Int_Tables_number 160
_symmetry_space_group_name_Hall 'R 3 -2"'
_cell_length_a 4.0892
_cell_length_b 4.0892
_cell_length_c 23.8586
_cell_angle_alpha 90.00
_cell_angle_beta 90.00
_cell_angle_gamma 120.00
loop_
_atom_site_label
_atom_site_type_symbol
_atom_site_fract_x
_atom_site_fract_y
_atom_site_fract_z
Rb1 Rb 0.0000 0.0000 0.0000
Tm1 Tm 0.0000 0.0000 0.1640
Se1 Se 0.0000 0.0000 0.5646
S1 S 0.0000 0.0000 0.7711
```

---

V in Å³/cell, matching the order above: 462.8, 1506.4, 763.0, 791.7, 741.3, 257.3, 173.4, 358.5, 511.5, 345.5
Formation energy (no corrections) in eV per atom, matching the order above: 0.0539, 0.2131, -0.6373, -0.6109, -0.8907, -0.7092, 0.0809, -1.7699, -0.6838, -1.7609
Electronic total energy in eV/cell, matching the order above: -49.4, -196.3, -48.4, -80.7, -51.1, -26.0, -14.0, -60.9, -45.1, -60.3